# KIr2Cl

A relaxed KIr2Cl crystal (PBE-GGA, Alexandria via LeMat-Bulk).

Results
Raw formation energy in eV per atom: 1.03
Fermi-level density of states in states/eV per cell: 18.14
DFT total energy in eV/atom: -4.1352

a = 6.7257 Å, b = 6.7257 Å, c = 6.7257 Å
α = 90.00°, β = 90.00°, γ = 90.00°
Space group F-43m (No. 216)
Unique sites:
1 K 0.0000 0.0000 0.0000
2 Ir 0.0000 0.0000 0.5000
3 Ir 0.2500 0.2500 0.2500
4 Cl 0.2500 0.2500 0.7500